## LiPaSnBi (PBE-GGA)

Data for a geometry-optimized LiPaSnBi structure.

Cell lengths 5.258, 5.258, 5.258 Å; angles 60.00, 60.00, 60.00 degrees
Sites, in units of the cell vectors:
Pa (0.750, 0.750, 0.750)
Li (0.250, 0.250, 0.250)
Bi (0.000, 0.000, 0.000)
Sn (0.500, 0.500, 0.500)

Properties
* calculated total energy: -19.77 eV for the cell shown
* formation energy: -0.118 eV/atom